i) PBE CePr6Tl5, optimized geometry; DOS(E_F) = 1.344 states/eV per atom; magnetization = 1.89 μB/f.u.
1.0
5.1923 -7.9048 0.0000
5.1923 7.9048 0.0000
-2.5931 0.0000 4.4984
Ce Pr Tl
1 6 5
direct
0.0000 0.0000 0.0000
0.0857 0.4277 0.2568
0.2649 0.2649 0.7649
0.4277 0.0857 0.2568
0.5723 0.9143 0.7432
0.7351 0.7351 0.2351
0.9143 0.5723 0.7432
0.1520 0.8480 0.5000
0.3291 0.6709 0.0000
0.5000 0.5000 0.5000
0.6709 0.3291 0.0000
0.8480 0.1520 0.5000


ii) PBE CePr6Tl5, optimized geometry; DOS(E_F) = 1.470 states/eV per atom; magnetization = 1.72 μB/f.u.
1.0
5.3527 -6.0294 0.0000
5.3527 6.0294 0.0000
-1.5970 0.0000 6.0518
Ce Pr Tl
1 6 5
direct
0.0000 0.0000 0.0000
0.0936 0.4626 0.2721
0.2815 0.2815 0.7851
0.4626 0.0936 0.2721
0.5374 0.9064 0.7279
0.7185 0.7185 0.2149
0.9064 0.5374 0.7279
0.1307 0.8693 0.5000
0.2949 0.7051 0.0000
0.5000 0.5000 0.5000
0.7051 0.2949 0.0000
0.8693 0.1307 0.5000


Most stable: i)


i) PBE Ce2PrTl2, optimized geometry; DOS(E_F) = 1.933 states/eV per atom; magnetization = 2.23 μB/f.u.
1.0
2.8351 -3.6219 0.0000
2.8351 3.6219 0.0000
0.0000 0.0000 7.4449
Ce Pr Tl
2 1 2
direct
0.1814 0.8186 0.0000
0.8186 0.1814 0.0000
0.0000 0.0000 0.5000
0.5000 0.5000 0.2865
0.5000 0.5000 0.7135


ii) PBE Ce2PrTl2, optimized geometry; DOS(E_F) = 1.791 states/eV per atom; magnetization = 0.70 μB/f.u.
1.0
3.0819 -3.1559 0.0000
3.0819 3.1559 0.0000
-2.8500 0.0000 7.6861
Ce Pr Tl
2 1 2
direct
0.2190 0.7810 0.0000
0.7810 0.2190 0.0000
0.0000 0.0000 0.5000
0.4141 0.4141 0.3087
0.5859 0.5859 0.6913


Most stable: ii)